# Ag2Sb2As

A relaxed Ag2Sb2As crystal (GGA-PBE, Alexandria via LeMat-Bulk).

Output
excess energy over the best structure of this formula in the dataset = 0 meV/atom
formation energy (no corrections) = 232 meV per atom
electronic total energy = -34.9 eV/cell

a b c (Å): 8.4980 8.4980 3.2093
angles (deg): 90.00 90.00 90.00
Sites, in units of the cell vectors:
As (0.5000, 0.5000, 0.0000)
As (0.0000, 0.0000, 0.0000)
Sb (0.1877, 0.3123, 0.0000)
Sb (0.8123, 0.6877, 0.0000)
Sb (0.3123, 0.8123, 0.0000)
Sb (0.6877, 0.1877, 0.0000)
Ag (0.3851, 0.1149, 0.5000)
Ag (0.1149, 0.6149, 0.5000)
Ag (0.6149, 0.8851, 0.5000)
Ag (0.8851, 0.3851, 0.5000)